The following is a DFT calculation (PBE) of a geometry-optimized LaGdGa2Cl2 structure.

a b c (Å): 4.1938 4.1938 10.9392
angles (deg): 90.00 90.00 120.00
Last column: nearest neighbours and their distance in Å.
Positions (direct):
La: 0.0000 0.0000 0.0000  3 Cl 2.93, 3 Ga 3.05
Gd: 0.0000 0.0000 0.3896  3 Cl 2.87, 3 Ga 2.98
Ga: 0.3333 0.6667 0.1693  3 Ga 2.51
Ga: 0.6667 0.3333 0.2306  3 Ga 2.51
Cl: 0.3333 0.6667 0.5310  3 Gd 2.87
Cl: 0.6667 0.3333 0.8489  3 La 2.93

Properties
- DFT total energy (eV/atom) = -4.646
- magnetization (μB/f.u.) = 0.0



The following is a DFT calculation (PBE) of a geometry-optimized NdGdGa2Cl2 structure.

a b c (Å): 4.1445 4.1445 10.8571
angles (deg): 90.00 90.00 120.00
Last column: nearest neighbours and their distance in Å.
Positions (direct):
Nd: 0.0000 0.0000 0.0000  3 Cl 2.90, 3 Ga 3.00
Gd: 0.0000 0.0000 0.3882  3 Cl 2.85, 3 Ga 2.96
Ga: 0.3333 0.6667 0.1672  3 Ga 2.48
Ga: 0.6667 0.3333 0.2277  3 Ga 2.48
Cl: 0.3333 0.6667 0.5316  3 Gd 2.85
Cl: 0.6667 0.3333 0.8492  3 Nd 2.90

Properties
- DFT total energy (eV/atom) = -4.588
- magnetization (μB/f.u.) = 0.0



The following is a DFT calculation (PBE) of a geometry-optimized Pr2GdGaCl3 structure.

a b c (Å): 5.8214 5.8214 5.7959
angles (deg): 90.00 90.00 90.00
Last column: nearest neighbours and their distance in Å.
Positions (direct):
Pr: 0.0000 0.5000 0.0000  4 Cl 2.90-2.91, 2 Ga 2.91
Pr: 0.5000 0.0000 0.0000  4 Cl 2.90-2.91, 2 Ga 2.91
Gd: 0.0000 0.0000 0.5000  2 Ga 2.90, 4 Cl 2.91
Ga: 0.0000 0.0000 0.0000  2 Gd 2.90, 4 Pr 2.91
Cl: 0.0000 0.5000 0.5000  2 Pr 2.90, 2 Gd 2.91
Cl: 0.5000 0.0000 0.5000  2 Pr 2.90, 2 Gd 2.91
Cl: 0.5000 0.5000 0.0000  4 Pr 2.91

Properties
- DFT total energy (eV/atom) = -4.778
- magnetization (μB/f.u.) = 0.0



The following is a DFT calculation (PBE) of a geometry-optimized PrGdGa2Cl2 structure.

a b c (Å): 4.1644 4.1644 10.8919
angles (deg): 90.00 90.00 120.00
Last column: nearest neighbours and their distance in Å.
Positions (direct):
Pr: 0.0000 0.0000 0.0000  3 Cl 2.92, 3 Ga 3.03
Gd: 0.0000 0.0000 0.3886  3 Cl 2.86, 3 Ga 2.97
Ga: 0.3333 0.6667 0.1689  3 Ga 2.49
Ga: 0.6667 0.3333 0.2286  3 Ga 2.49
Cl: 0.3333 0.6667 0.5310  3 Gd 2.86
Cl: 0.6667 0.3333 0.8478  3 Pr 2.92

Properties
- DFT total energy (eV/atom) = -4.590
- magnetization (μB/f.u.) = 0.0



The following is a DFT calculation (PBE) of a geometry-optimized SmGdGa2Cl2 structure.

a b c (Å): 4.1240 4.1240 10.8026
angles (deg): 90.00 90.00 120.00
Last column: nearest neighbours and their distance in Å.
Positions (direct):
Sm: 0.0000 0.0000 0.0000  3 Cl 2.86, 3 Ga 2.97
Gd: 0.0000 0.0000 0.6126  3 Cl 2.86, 3 Ga 2.96
Ga: 0.3333 0.6667 0.7756  3 Ga 2.47
Ga: 0.6667 0.3333 0.8359  3 Ga 2.47
Cl: 0.3333 0.6667 0.1471  3 Sm 2.86
Cl: 0.6667 0.3333 0.4666  3 Gd 2.86

Properties
- DFT total energy (eV/atom) = -4.575
- magnetization (μB/f.u.) = 0.0



The following is a DFT calculation (PBE) of a geometry-optimized GdTmGa2Cl2 structure.

a b c (Å): 4.0664 4.0664 11.3836
angles (deg): 90.00 90.00 120.00
Last column: nearest neighbours and their distance in Å.
Positions (direct):
Gd: 0.0000 0.0000 0.0000  3 Cl 2.84, 3 Ga 2.92
Tm: 0.0000 0.0000 0.6380  3 Cl 2.80, 3 Ga 2.88
Ga: 0.3333 0.6667 0.8481  3 Ga 2.46
Ga: 0.6667 0.3333 0.7841  3 Ga 2.46
Cl: 0.3333 0.6667 0.5034  3 Tm 2.80
Cl: 0.6667 0.3333 0.1407  3 Gd 2.84

Properties
- DFT total energy (eV/atom) = -4.490
- magnetization (μB/f.u.) = 0.0



The following is a DFT calculation (PBE) of a geometry-optimized Ga2Hg3Cl8 structure.

a b c (Å): 7.2537 15.2387 14.3845
angles (deg): 90.00 99.34 90.00
Last column: nearest neighbours and their distance in Å.
Positions (direct):
Ga: 0.0976 0.1827 0.0955  4 Cl 2.18-2.28
Ga: 0.0976 0.3173 0.5955  4 Cl 2.18-2.28
Ga: 0.3069 0.6031 0.7771  4 Cl 2.18-2.25
Ga: 0.3069 0.8969 0.2771  4 Cl 2.18-2.25
Ga: 0.6931 0.1031 0.7229  4 Cl 2.18-2.25
Ga: 0.6931 0.3969 0.2229  4 Cl 2.18-2.25
Ga: 0.9024 0.6827 0.4045  4 Cl 2.18-2.28
Ga: 0.9024 0.8173 0.9045  4 Cl 2.18-2.28
Hg: 0.1296 0.5221 0.1960  1 Cl 2.60, 1 Hg 2.64
Hg: 0.1296 0.9779 0.6960  1 Cl 2.60, 1 Hg 2.64
Hg: 0.3134 0.6364 0.1076  2 Hg 2.63-2.64
Hg: 0.3134 0.8636 0.6076  2 Hg 2.63-2.64
Hg: 0.4938 0.7384 0.5340  1 Cl 2.56, 1 Hg 2.63
Hg: 0.4938 0.7616 0.0340  1 Cl 2.56, 1 Hg 2.63
Hg: 0.5062 0.2384 0.9660  1 Cl 2.56, 1 Hg 2.63
Hg: 0.5062 0.2616 0.4660  1 Cl 2.56, 1 Hg 2.63
Hg: 0.6866 0.1364 0.3924  2 Hg 2.63-2.64
Hg: 0.6866 0.3636 0.8924  2 Hg 2.63-2.64
Hg: 0.8704 0.0221 0.3040  1 Cl 2.60, 1 Hg 2.64
Hg: 0.8704 0.4779 0.8040  1 Cl 2.60, 1 Hg 2.64
Cl: 0.0130 0.5898 0.6989  1 Ga 2.25
Cl: 0.0130 0.9102 0.1989  1 Ga 2.25
Cl: 0.0950 0.1812 0.5443  1 Ga 2.20
Cl: 0.0950 0.3188 0.0443  1 Ga 2.20
Cl: 0.1549 0.6087 0.4568  1 Ga 2.18
Cl: 0.1549 0.8913 0.9568  1 Ga 2.18
Cl: 0.1782 0.1711 0.2477  1 Ga 2.18
Cl: 0.1782 0.3289 0.7477  1 Ga 2.18
Cl: 0.3210 0.1141 0.0274  1 Ga 2.28
Cl: 0.3210 0.3859 0.5274  1 Ga 2.28
Cl: 0.3237 0.5204 0.9029  1 Ga 2.19
Cl: 0.3237 0.9796 0.4029  1 Ga 2.19
Cl: 0.3488 0.7420 0.8113  1 Ga 2.18
Cl: 0.3488 0.7580 0.3113  1 Ga 2.18
Cl: 0.4981 0.5623 0.6829  1 Ga 2.18
Cl: 0.4981 0.9377 0.1829  1 Ga 2.18
Cl: 0.5019 0.0623 0.8171  1 Ga 2.18
Cl: 0.5019 0.4377 0.3171  1 Ga 2.18
Cl: 0.6512 0.2420 0.6887  1 Ga 2.18
Cl: 0.6512 0.2580 0.1887  1 Ga 2.18
Cl: 0.6763 0.0204 0.5971  1 Ga 2.19
Cl: 0.6763 0.4796 0.0971  1 Ga 2.19
Cl: 0.6790 0.6141 0.4726  1 Ga 2.28
Cl: 0.6790 0.8859 0.9726  1 Ga 2.28
Cl: 0.8218 0.6711 0.2523  1 Ga 2.18
Cl: 0.8218 0.8289 0.7523  1 Ga 2.18
Cl: 0.8451 0.1087 0.0432  1 Ga 2.18
Cl: 0.8451 0.3913 0.5432  1 Ga 2.18
Cl: 0.9050 0.6812 0.9557  1 Ga 2.20
Cl: 0.9050 0.8188 0.4557  1 Ga 2.20
Cl: 0.9870 0.0898 0.8011  1 Ga 2.25
Cl: 0.9870 0.4102 0.3011  1 Ga 2.25

Properties
- DFT total energy (eV/atom) = -2.555



The following is a DFT calculation (PBE) of a geometry-optimized GaHg2SbCl4 structure.

a b c (Å): 17.9161 8.9228 12.3284
angles (deg): 90.00 90.00 90.00
Last column: nearest neighbours and their distance in Å.
Positions (direct):
Ga: 0.1225 0.1683 0.0000  4 Cl 2.18-2.22
Ga: 0.1345 0.6621 0.2799  4 Cl 2.19-2.21
Ga: 0.3655 0.1621 0.7799  4 Cl 2.19-2.21
Ga: 0.3775 0.6683 0.5000  4 Cl 2.18-2.22
Ga: 0.6225 0.3317 0.0000  4 Cl 2.18-2.22
Ga: 0.6345 0.8379 0.2799  4 Cl 2.19-2.21
Ga: 0.8655 0.3379 0.7799  4 Cl 2.19-2.21
Ga: 0.8775 0.8317 0.5000  4 Cl 2.18-2.22
Hg: 0.0079 0.2557 0.3890  2 Sb 2.75
Hg: 0.1216 0.9164 0.6251  2 Sb 2.74-2.75
Hg: 0.1244 0.4157 0.6585  2 Sb 2.73-2.74
Hg: 0.2429 0.7055 0.8940  2 Sb 2.73-2.74
Hg: 0.2571 0.2055 0.3940  2 Sb 2.73-2.74
Hg: 0.3756 0.9157 0.1585  2 Sb 2.73-2.74
Hg: 0.3784 0.4164 0.1251  2 Sb 2.74-2.75
Hg: 0.4921 0.7557 0.8890  2 Sb 2.75
Hg: 0.5079 0.2443 0.3890  2 Sb 2.75
Hg: 0.6216 0.5836 0.6251  2 Sb 2.74-2.75
Hg: 0.6244 0.0843 0.6585  2 Sb 2.73-2.74
Hg: 0.7429 0.7945 0.8940  2 Sb 2.73-2.74
Hg: 0.7571 0.2945 0.3940  2 Sb 2.73-2.74
Hg: 0.8756 0.5843 0.1585  2 Sb 2.73-2.74
Hg: 0.8784 0.0836 0.1251  2 Sb 2.74-2.75
Hg: 0.9921 0.7443 0.8890  2 Sb 2.75
Sb: 0.1174 0.6819 0.7686  4 Hg 2.74-2.75
Sb: 0.1293 0.1833 0.5143  4 Hg 2.73-2.75
Sb: 0.3707 0.6833 0.0143  4 Hg 2.73-2.75
Sb: 0.3826 0.1819 0.2686  4 Hg 2.74-2.75
Sb: 0.6174 0.8181 0.7686  4 Hg 2.74-2.75
Sb: 0.6293 0.3167 0.5143  4 Hg 2.73-2.75
Sb: 0.8707 0.8167 0.0143  4 Hg 2.73-2.75
Sb: 0.8826 0.3181 0.2686  4 Hg 2.74-2.75
Cl: 0.0531 0.6938 0.1476  1 Ga 2.21
Cl: 0.0561 0.1219 0.1473  1 Ga 2.21
Cl: 0.0635 0.0750 0.8569  1 Ga 2.22
Cl: 0.0721 0.6155 0.4308  1 Ga 2.21
Cl: 0.1338 0.4090 0.9737  1 Ga 2.18
Cl: 0.2048 0.8615 0.2969  1 Ga 2.19
Cl: 0.2056 0.4673 0.2385  1 Ga 2.21
Cl: 0.2310 0.0566 0.0189  1 Ga 2.20
Cl: 0.2690 0.5566 0.5189  1 Ga 2.20
Cl: 0.2944 0.9673 0.7385  1 Ga 2.21
Cl: 0.2952 0.3615 0.7969  1 Ga 2.19
Cl: 0.3662 0.9090 0.4737  1 Ga 2.18
Cl: 0.4279 0.1155 0.9308  1 Ga 2.21
Cl: 0.4365 0.5750 0.3569  1 Ga 2.22
Cl: 0.4439 0.6219 0.6473  1 Ga 2.21
Cl: 0.4469 0.1938 0.6476  1 Ga 2.21
Cl: 0.5531 0.8062 0.1476  1 Ga 2.21
Cl: 0.5561 0.3781 0.1473  1 Ga 2.21
Cl: 0.5635 0.4250 0.8569  1 Ga 2.22
Cl: 0.5721 0.8845 0.4308  1 Ga 2.21
Cl: 0.6338 0.0910 0.9737  1 Ga 2.18
Cl: 0.7048 0.6385 0.2969  1 Ga 2.19
Cl: 0.7056 0.0327 0.2385  1 Ga 2.21
Cl: 0.7310 0.4434 0.0189  1 Ga 2.20
Cl: 0.7690 0.9434 0.5189  1 Ga 2.20
Cl: 0.7944 0.5327 0.7385  1 Ga 2.21
Cl: 0.7952 0.1385 0.7969  1 Ga 2.19
Cl: 0.8662 0.5910 0.4737  1 Ga 2.18
Cl: 0.9279 0.3845 0.9308  1 Ga 2.21
Cl: 0.9365 0.9250 0.3569  1 Ga 2.22
Cl: 0.9439 0.8781 0.6473  1 Ga 2.21
Cl: 0.9469 0.3062 0.6476  1 Ga 2.21

Properties
- DFT total energy (eV/atom) = -2.644



The following is a DFT calculation (PBE) of a geometry-optimized GaHg2SbCl4 structure.

a b c (Å): 12.3192 8.9238 18.0823
angles (deg): 90.00 90.00 90.00
Last column: nearest neighbours and their distance in Å.
Positions (direct):
Ga: 0.1079 0.0845 0.1253  4 Cl 2.18-2.22
Ga: 0.1079 0.9155 0.6253  4 Cl 2.18-2.22
Ga: 0.3921 0.4155 0.6253  4 Cl 2.18-2.22
Ga: 0.3921 0.5845 0.1253  4 Cl 2.18-2.22
Ga: 0.6079 0.4155 0.8747  4 Cl 2.18-2.22
Ga: 0.6079 0.5845 0.3747  4 Cl 2.18-2.22
Ga: 0.8921 0.0845 0.3747  4 Cl 2.18-2.22
Ga: 0.8921 0.9155 0.8747  4 Cl 2.18-2.22
Hg: 0.0000 0.4661 0.7500  2 Sb 2.74
Hg: 0.0000 0.5000 0.0000  2 Sb 2.75
Hg: 0.0000 0.5000 0.5000  2 Sb 2.75
Hg: 0.0000 0.5339 0.2500  2 Sb 2.74
Hg: 0.2346 0.1723 0.8771  2 Sb 2.74-2.75
Hg: 0.2346 0.8277 0.3771  2 Sb 2.74-2.75
Hg: 0.2654 0.3277 0.3771  2 Sb 2.74-2.75
Hg: 0.2654 0.6723 0.8771  2 Sb 2.74-2.75
Hg: 0.5000 0.0000 0.0000  2 Sb 2.75
Hg: 0.5000 0.0000 0.5000  2 Sb 2.75
Hg: 0.5000 0.0339 0.2500  2 Sb 2.74
Hg: 0.5000 0.9661 0.7500  2 Sb 2.74
Hg: 0.7346 0.3277 0.1229  2 Sb 2.74-2.75
Hg: 0.7346 0.6723 0.6229  2 Sb 2.74-2.75
Hg: 0.7654 0.1723 0.6229  2 Sb 2.74-2.75
Hg: 0.7654 0.8277 0.1229  2 Sb 2.74-2.75
Sb: 0.1217 0.4376 0.8761  4 Hg 2.74-2.75
Sb: 0.1217 0.5624 0.3761  4 Hg 2.74-2.75
Sb: 0.3783 0.0624 0.3761  4 Hg 2.74-2.75
Sb: 0.3783 0.9376 0.8761  4 Hg 2.74-2.75
Sb: 0.6217 0.0624 0.1239  4 Hg 2.74-2.75
Sb: 0.6217 0.9376 0.6239  4 Hg 2.74-2.75
Sb: 0.8783 0.4376 0.6239  4 Hg 2.74-2.75
Sb: 0.8783 0.5624 0.1239  4 Hg 2.74-2.75
Cl: 0.0376 0.1604 0.4362  1 Ga 2.22
Cl: 0.0376 0.8396 0.9362  1 Ga 2.22
Cl: 0.0794 0.1423 0.6657  1 Ga 2.18
Cl: 0.0794 0.8577 0.1657  1 Ga 2.18
Cl: 0.1421 0.2398 0.2176  1 Ga 2.21
Cl: 0.1421 0.7602 0.7176  1 Ga 2.21
Cl: 0.2492 0.0911 0.0502  1 Ga 2.21
Cl: 0.2492 0.9089 0.5502  1 Ga 2.21
Cl: 0.2508 0.4089 0.5502  1 Ga 2.21
Cl: 0.2508 0.5911 0.0502  1 Ga 2.21
Cl: 0.3579 0.2602 0.7176  1 Ga 2.21
Cl: 0.3579 0.7398 0.2176  1 Ga 2.21
Cl: 0.4206 0.3577 0.1657  1 Ga 2.18
Cl: 0.4206 0.6423 0.6657  1 Ga 2.18
Cl: 0.4624 0.3396 0.9362  1 Ga 2.22
Cl: 0.4624 0.6604 0.4362  1 Ga 2.22
Cl: 0.5376 0.3396 0.5638  1 Ga 2.22
Cl: 0.5376 0.6604 0.0638  1 Ga 2.22
Cl: 0.5794 0.3577 0.3343  1 Ga 2.18
Cl: 0.5794 0.6423 0.8343  1 Ga 2.18
Cl: 0.6421 0.2602 0.7824  1 Ga 2.21
Cl: 0.6421 0.7398 0.2824  1 Ga 2.21
Cl: 0.7492 0.4089 0.9498  1 Ga 2.21
Cl: 0.7492 0.5911 0.4498  1 Ga 2.21
Cl: 0.7508 0.0911 0.4498  1 Ga 2.21
Cl: 0.7508 0.9089 0.9498  1 Ga 2.21
Cl: 0.8579 0.2398 0.2824  1 Ga 2.21
Cl: 0.8579 0.7602 0.7824  1 Ga 2.21
Cl: 0.9206 0.1423 0.8343  1 Ga 2.18
Cl: 0.9206 0.8577 0.3343  1 Ga 2.18
Cl: 0.9624 0.1604 0.0638  1 Ga 2.22
Cl: 0.9624 0.8396 0.5638  1 Ga 2.22

Properties
- DFT total energy (eV/atom) = -2.644



The following is a DFT calculation (PBE) of a geometry-optimized Nd2Ga2ICl structure.

a b c (Å): 4.2445 4.2445 11.5612
angles (deg): 90.00 90.00 120.00
Last column: nearest neighbours and their distance in Å.
Positions (direct):
Nd: 0.0000 0.0000 0.0000  3 Ga 3.03, 3 I 3.21
Nd: 0.0000 0.0000 0.3659  3 Cl 2.92, 3 Ga 3.06
Ga: 0.3333 0.6667 0.2077  3 Ga 2.53
Ga: 0.6667 0.3333 0.1538  3 Ga 2.53
I: 0.3333 0.6667 0.8201  3 Nd 3.21
Cl: 0.6667 0.3333 0.5034  3 Nd 2.92

Properties
- DFT total energy (eV/atom) = -4.405
- magnetization (μB/f.u.) = 0.0



The following is a DFT calculation (PBE) of a geometry-optimized Ga2PdI4Cl4 structure.

a b c (Å): 7.9432 7.9432 7.4450
angles (deg): 92.93 92.93 67.15
Last column: nearest neighbours and their distance in Å.
Positions (direct):
Ga: 0.2136 0.2136 0.3468  2 Cl 2.16-2.17
Ga: 0.7864 0.7864 0.6532  2 Cl 2.16-2.17
Pd: 0.0000 0.0000 0.0000  4 I 2.64
I: 0.0977 0.6717 0.8436  1 Pd 2.64, 1 Ga 2.64
I: 0.3283 0.9023 0.1564  1 Pd 2.64, 1 Ga 2.64
I: 0.6717 0.0977 0.8436  1 Pd 2.64, 1 Ga 2.64
I: 0.9023 0.3283 0.1564  1 Pd 2.64, 1 Ga 2.64
Cl: 0.1739 0.1739 0.6253  1 Ga 2.17
Cl: 0.3747 0.3747 0.3161  1 Ga 2.16
Cl: 0.6253 0.6253 0.6839  1 Ga 2.16
Cl: 0.8261 0.8261 0.3747  1 Ga 2.17

Properties
- relative energy among the computed polymorphs (eV per atom) = 0.0000
- DFT total energy (eV/atom) = -2.974



The following is a DFT calculation (PBE) of a geometry-optimized Ga2PdI4Cl4 structure.

a b c (Å): 8.1956 8.1956 7.5751
angles (deg): 99.80 99.80 64.90
Last column: nearest neighbours and their distance in Å.
Positions (direct):
Ga: 0.2040 0.2040 0.3278  2 Cl 2.34, 2 I 2.49-2.51
Ga: 0.7960 0.7960 0.6722  2 Cl 2.34, 2 I 2.49-2.51
Pd: 0.0000 0.0000 0.0000  4 Cl 2.33
I: 0.1682 0.1682 0.6393  1 Ga 2.51
I: 0.3785 0.3785 0.2896  1 Ga 2.49
I: 0.6215 0.6215 0.7104  1 Ga 2.49
I: 0.8318 0.8318 0.3607  1 Ga 2.51
Cl: 0.0749 0.7078 0.8527  1 Pd 2.33, 1 Ga 2.34
Cl: 0.2922 0.9251 0.1473  1 Pd 2.33, 1 Ga 2.34
Cl: 0.7078 0.0749 0.8527  1 Pd 2.33, 1 Ga 2.34
Cl: 0.9251 0.2922 0.1473  1 Pd 2.33, 1 Ga 2.34

Properties
- relative energy among the computed polymorphs (eV per atom) = 0.0890
- DFT total energy (eV/atom) = -2.885



Copy entry 1 word for word.
The following is a DFT calculation (PBE) of a geometry-optimized LaGdGa2Cl2 structure.

a b c (Å): 4.1938 4.1938 10.9392
angles (deg): 90.00 90.00 120.00
Last column: nearest neighbours and their distance in Å.
Positions (direct):
La: 0.0000 0.0000 0.0000  3 Cl 2.93, 3 Ga 3.05
Gd: 0.0000 0.0000 0.3896  3 Cl 2.87, 3 Ga 2.98
Ga: 0.3333 0.6667 0.1693  3 Ga 2.51
Ga: 0.6667 0.3333 0.2306  3 Ga 2.51
Cl: 0.3333 0.6667 0.5310  3 Gd 2.87
Cl: 0.6667 0.3333 0.8489  3 La 2.93

Properties
- DFT total energy (eV/atom) = -4.646
- magnetization (μB/f.u.) = 0.0